La3Cd2Si4Au2: relaxed, PBE.

a = 4.3569 Å, b = 4.3735 Å, c = 26.1149 Å
α = 90.00°, β = 90.00°, γ = 90.00°
Space group Immm (No. 71)
One atom of each set of equivalent atoms:
La 0.0000 0.0000 0.0000 (multiplicity 2)
La 0.0000 0.5000 0.1415 (multiplicity 4)
Cd 0.0000 0.0000 0.2501 (multiplicity 4)
Si 0.0000 0.0000 0.4542 (multiplicity 4)
Si 0.0000 0.5000 0.3147 (multiplicity 4)
Au 0.0000 0.5000 0.4088 (multiplicity 4)

Calculated values
The value obtained for the theoretical density is 7.66 Mg/m³. As for the calculated total energy: -103.9 eV per cell.

GdY2: relaxed, PBE.

a = 9.3508 Å, b = 9.3508 Å, c = 9.3508 Å
α = 90.00°, β = 90.00°, γ = 90.00°
Space group Fd-3m (No. 227, origin choice 2)
One atom of each set of equivalent atoms:
Gd 0.1250 0.1250 0.1250 (multiplicity 8)
Y 0.0000 0.0000 0.5000 (multiplicity 16)

Calculated values
The value obtained for the theoretical density is 5.44 Mg/m³. The formation energy is 0.30 eV/atom. The value obtained for the energy above the most stable polymorph in this dataset is 0.0000 eV/atom.

K2CuBr4: relaxed, PBE.

a = 7.5715 Å, b = 6.6772 Å, c = 9.4210 Å
α = 90.00°, β = 107.85°, γ = 90.00°
Space group P2_1 (No. 4)
One atom of each set of equivalent atoms:
K 0.2029 0.0000 0.4240 (multiplicity 2)
K 0.2588 0.9992 0.9419 (multiplicity 2)
Cu 0.2761 0.5030 0.1998 (multiplicity 2)
Br 0.0853 0.5023 0.3683 (multiplicity 2)
Br 0.1135 0.5052 0.9337 (multiplicity 2)
Br 0.4943 0.2611 0.7343 (multiplicity 2)
Br 0.5000 0.2393 0.2647 (multiplicity 2)

Calculated values
The value obtained for the theoretical density is 3.38 Mg/m³. As for the calculated total energy: -40.7 eV per cell.

MgSnBIr: relaxed, PBE.

a = 6.2516 Å, b = 6.2516 Å, c = 6.2516 Å
α = 90.00°, β = 90.00°, γ = 90.00°
Space group F-43m (No. 216)
One atom of each set of equivalent atoms:
Mg 0.0000 0.0000 0.0000 (multiplicity 4)
Sn 0.2500 0.2500 0.2500 (multiplicity 4)
B 0.2500 0.2500 0.7500 (multiplicity 4)
Ir 0.0000 0.0000 0.5000 (multiplicity 4)

Calculated values
The value obtained for the theoretical density is 9.41 Mg/m³. The value obtained for the energy above the most stable polymorph in this dataset is 0.0000 eV/atom.

YThTe: relaxed, PBE.

a = 7.3268 Å, b = 7.3268 Å, c = 7.3268 Å
α = 90.00°, β = 90.00°, γ = 90.00°
Space group F-43m (No. 216)
One atom of each set of equivalent atoms:
Y 0.0000 0.0000 0.0000 (multiplicity 4)
Th 0.0000 0.0000 0.5000 (multiplicity 4)
Te 0.2500 0.2500 0.7500 (multiplicity 4)

Calculated values
The value obtained for the theoretical density is 7.57 Mg/m³. As for the calculated total energy: -72.0 eV per cell.

PmBeGe: relaxed, PBE.

a = 6.6373 Å, b = 6.6373 Å, c = 6.6373 Å
α = 90.00°, β = 90.00°, γ = 90.00°
Space group F-43m (No. 216)
One atom of each set of equivalent atoms:
Pm 0.0000 0.0000 0.0000 (multiplicity 4)
Be 0.2500 0.2500 0.7500 (multiplicity 4)
Ge 0.2500 0.2500 0.2500 (multiplicity 4)

Calculated values
The value obtained for the theoretical density is 5.15 Mg/m³. The value obtained for the energy above the most stable polymorph in this dataset is 1.0122 eV/atom.

GdDyAl2: relaxed, PBE.

a = 4.1516 Å, b = 4.4547 Å, c = 11.2026 Å
α = 90.00°, β = 90.00°, γ = 90.00°
Space group Amm2 (No. 38)
One atom of each set of equivalent atoms:
Gd 0.0000 0.0000 0.0000 (multiplicity 2)
Dy 0.5000 0.0000 0.2799 (multiplicity 2)
Al 0.0000 0.0000 0.7144 (multiplicity 2)
Al 0.5000 0.0000 0.5670 (multiplicity 2)

Calculated values
The value obtained for the theoretical density is 5.99 Mg/m³. As for the calculated total energy: -36.5 eV per cell.

NaRePO: relaxed, PBE.

a = 3.4873 Å, b = 5.8513 Å, c = 6.8914 Å
α = 90.00°, β = 90.00°, γ = 90.00°
Space group Pmc2_1 (No. 26)
One atom of each set of equivalent atoms:
Na 0.0000 0.2234 0.0000 (multiplicity 2)
Re 0.5000 0.2841 0.3945 (multiplicity 2)
P 0.5000 0.4128 0.6993 (multiplicity 2)
O 0.0000 0.1398 0.3547 (multiplicity 2)

Calculated values
The value obtained for the theoretical density is 6.05 Mg/m³. The value obtained for the energy above the most stable polymorph in this dataset is 0.0000 eV/atom.

DyZn2GePt4: relaxed, PBE.

a = 4.3197 Å, b = 4.3197 Å, c = 7.0975 Å
α = 90.00°, β = 90.00°, γ = 90.00°
Space group P4/mmm (No. 123)
One atom of each set of equivalent atoms:
Dy 0.0000 0.0000 0.0000 (multiplicity 1)
Zn 0.0000 0.0000 0.5000 (multiplicity 1)
Zn 0.5000 0.5000 0.0000 (multiplicity 1)
Ge 0.5000 0.5000 0.5000 (multiplicity 1)
Pt 0.0000 0.5000 0.2772 (multiplicity 4)

Calculated values
The value obtained for the theoretical density is 14.37 Mg/m³. As for the calculated total energy: -41.0 eV per cell.

Mg2ScZn: relaxed, PBE.

a = 4.7979 Å, b = 10.0788 Å, c = 6.7465 Å
α = 90.00°, β = 90.00°, γ = 90.00°
Space group Ama2 (No. 40)
One atom of each set of equivalent atoms:
Mg 0.2500 0.1027 0.0000 (multiplicity 4)
Mg 0.2500 0.3439 0.2616 (multiplicity 4)
Sc 0.2500 0.3744 0.7913 (multiplicity 4)
Zn 0.2500 0.1227 0.5417 (multiplicity 4)

Calculated values
The value obtained for the theoretical density is 3.24 Mg/m³. As for the calculated total energy: -44.7 eV per cell.

Dy2ZnSb2: relaxed, PBE.

a = 4.3559 Å, b = 18.3438 Å, c = 6.4747 Å
α = 90.00°, β = 90.00°, γ = 90.00°
Space group Cmc2_1 (No. 36)
One atom of each set of equivalent atoms:
Dy 0.0000 0.0078 0.0000 (multiplicity 4)
Dy 0.0000 0.2042 0.7075 (multiplicity 4)
Zn 0.0000 0.4096 0.7999 (multiplicity 4)
Sb 0.0000 0.1727 0.2061 (multiplicity 4)
Sb 0.0000 0.4108 0.2366 (multiplicity 4)

Calculated values
The value obtained for the theoretical density is 8.14 Mg/m³. As for the calculated total energy: -89.0 eV per cell.

Er2Sc2CF5: relaxed, PBE.

a = 14.0080 Å, b = 3.3062 Å, c = 6.7434 Å
α = 90.00°, β = 107.41°, γ = 90.00°
Space group C2/m (No. 12)
One atom of each set of equivalent atoms:
Er 0.0010 0.0000 0.2388 (multiplicity 4)
Sc 0.1608 0.5000 0.1081 (multiplicity 4)
C 0.0000 0.5000 0.0000 (multiplicity 2)
F 0.0000 0.5000 0.5000 (multiplicity 2)
F 0.1766 0.0000 0.8863 (multiplicity 4)
F 0.1778 0.0000 0.3222 (multiplicity 4)

Calculated values
The value obtained for the theoretical density is 5.92 Mg/m³. As for the calculated total energy: -134.0 eV per cell.